Density functional theory data (GGA-PBE) for a relaxed ScVTcMo crystal.

Unit cell a=4.4533 b=4.4533 c=4.4533 alpha=60.00 beta=60.00 gamma=60.00
With the nearest neighbours (Å) after each atom.
Fractional positions:
Mo  0.0000  0.0000  0.0000  4 V 2.73, 4 Sc 2.73
V  0.7500  0.7500  0.7500  4 Tc 2.73, 4 Mo 2.73
Sc  0.2500  0.2500  0.2500  4 Mo 2.73, 4 Tc 2.73
Tc  0.5000  0.5000  0.5000  4 Sc 2.73, 4 V 2.73

Properties
Raw total energy   -36.65 eV/cell